BaCaLa2Os | Alexandria via LeMat-Bulk | PBE | optimized geometry; SG = P4/mmm, No. 123; calculated density = 5.57 g cm⁻³; distance to the lowest polymorph of the same formula = 0 meV/atom; electronic total energy = -5.017 eV per atom
1.0
5.6581 0.0000 0.0000
0.0000 5.6581 0.0000
0.0000 0.0000 6.0053
Ba La Os Ca
1 2 1 1
Cartesian
2.8291 2.8291 3.0026
0.0000 2.8291 0.0000
2.8291 0.0000 0.0000
0.0000 0.0000 0.0000
0.0000 0.0000 3.0026


BaCaLa2Os | Alexandria via LeMat-Bulk | PBE | optimized geometry; SG = P4/mmm, No. 123; calculated density = 5.28 g cm⁻³; distance to the lowest polymorph of the same formula = 84 meV/atom; electronic total energy = -4.933 eV per atom
1.0
5.6460 0.0000 0.0000
0.0000 5.6460 0.0000
0.0000 0.0000 6.3735
Ba La Ca Os
1 2 1 1
Cartesian
0.0000 0.0000 3.1867
2.8230 0.0000 0.0000
0.0000 2.8230 0.0000
2.8230 2.8230 3.1867
0.0000 0.0000 0.0000


BaCaLa2Pd | Alexandria via LeMat-Bulk | PBE | optimized geometry; SG = P4/mmm, No. 123; calculated density = 4.38 g cm⁻³; distance to the lowest polymorph of the same formula = 89 meV/atom; electronic total energy = -3.942 eV per atom
1.0
5.7564 0.0000 0.0000
0.0000 5.7564 0.0000
0.0000 0.0000 6.4297
Ca La Ba Pd
1 2 1 1
Cartesian
2.8782 2.8782 3.2149
0.0000 2.8782 0.0000
2.8782 0.0000 0.0000
0.0000 0.0000 3.2149
0.0000 0.0000 0.0000


BaCaLa2Pd | Alexandria via LeMat-Bulk | PBE | optimized geometry; SG = P4/mmm, No. 123; calculated density = 4.63 g cm⁻³; distance to the lowest polymorph of the same formula = 0 meV/atom; electronic total energy = -4.031 eV per atom
1.0
-0.1206 -0.0904 5.7968
1.4820 -5.6059 -0.0566
5.7954 1.5306 0.1444
Ca Pd La Ba
1 1 2 1
Cartesian
2.8977 0.7653 0.0722
0.0000 0.0000 0.0000
-0.0603 -0.0452 2.8984
0.7410 -2.8029 -0.0283
3.5784 -2.0828 2.9423


Ba2CaLaPd | Alexandria via LeMat-Bulk | PBE | optimized geometry; SG = P4/mmm, No. 123; calculated density = 3.99 g cm⁻³; electronic total energy = -3.361 eV per atom
1.0
-2.4705 5.4863 -2.1507
-0.8711 -2.6465 -5.7503
-5.2027 -1.7230 1.5812
Pd Ca Ba La
1 1 2 1
Cartesian
0.0000 0.0000 0.0000
-4.2722 0.5584 -3.1599
-0.4356 -1.3232 -2.8751
-1.2353 2.7431 -1.0754
-2.6014 -0.8615 0.7906


BaCaLaPr | Alexandria via LeMat-Bulk | PBE | optimized geometry; SG = F-43m, No. 216; calculated density = 4.46 g cm⁻³; electronic total energy = -3.236 eV per atom
1.0
6.2225 0.0000 0.0000
3.1113 5.3888 0.0000
3.1113 1.7963 5.0807
Ba Ca La Pr
1 1 1 1
Cartesian
6.2225 3.5926 2.5403
3.1113 1.7963 1.2702
0.0000 0.0000 0.0000
9.3338 5.3888 3.8105


BaCa2LaRu | Alexandria via LeMat-Bulk | PBE | optimized geometry; SG = P4/mmm, No. 123; calculated density = 4.18 g cm⁻³; distance to the lowest polymorph of the same formula = 1040 meV/atom; electronic total energy = -3.033 eV per atom
1.0
5.9857 0.0000 0.0000
0.0000 5.0663 0.0000
0.0000 0.0000 5.9857
La Ru Ba Ca
1 1 1 2
Cartesian
2.9928 2.5331 2.9928
0.0000 2.5331 0.0000
0.0000 0.0000 0.0000
2.9928 0.0000 0.0000
0.0000 0.0000 2.9928


BaCa2LaRu | Alexandria via LeMat-Bulk | PBE | optimized geometry; SG = P4/mmm, No. 123; calculated density = 4.09 g cm⁻³; distance to the lowest polymorph of the same formula = 0 meV/atom; electronic total energy = -4.073 eV per atom
1.0
5.9129 0.0000 0.0000
0.0000 5.9129 0.0000
0.0000 0.0000 5.3127
La Ca Ba Ru
1 2 1 1
Cartesian
0.0000 0.0000 2.6564
0.0000 2.9564 0.0000
2.9564 0.0000 0.0000
2.9564 2.9564 2.6564
0.0000 0.0000 0.0000


Ba2CaLaS | Alexandria via LeMat-Bulk | PBE | optimized geometry; formation energy (no corrections) = -0.675 eV per atom; SG = P4/mmm, No. 123; calculated density = 3.60 g cm⁻³; electronic total energy = -3.656 eV per atom
1.0
6.3043 0.0000 0.0000
0.0000 6.3043 0.0000
0.0000 0.0000 5.6292
Ca Ba S La
1 2 1 1
Cartesian
3.1522 3.1522 2.8146
0.0000 3.1522 0.0000
3.1522 0.0000 0.0000
0.0000 0.0000 0.0000
0.0000 0.0000 2.8146


BaCaLa2Se4 | Alexandria via LeMat-Bulk | PBE | optimized geometry; formation energy (no corrections) = -1.949 eV per atom; SG = P2/m, No. 10; calculated density = 5.34 g cm⁻³; electronic total energy = -5.413 eV per atom
1.0
4.3607 0.0000 0.0000
0.0000 7.6606 -0.1898
0.0000 2.6587 7.1149
Se Ca La Ba
4 1 2 1
Cartesian
2.1804 6.4560 1.7238
2.1804 3.8633 5.2013
0.0001 7.7891 5.0719
4.3607 2.5301 1.8532
0.0000 5.1596 3.4626
0.0000 2.6587 7.1149
2.1804 1.3293 3.5574
2.1804 3.8303 -0.0949


Ba2CaLaSe4 | Alexandria via LeMat-Bulk | PBE | optimized geometry; formation energy (no corrections) = -1.993 eV per atom; SG = P2/m, No. 10; calculated density = 5.01 g cm⁻³; electronic total energy = -5.082 eV per atom
1.0
-0.7785 -0.2414 -4.3838
-7.0706 -2.7270 1.4059
-0.2864 7.8392 -0.3808
Ca La Ba Se
1 1 2 4
Cartesian
0.0000 0.0000 0.0000
-3.9246 -1.4842 -1.4889
-0.5325 3.7989 -2.3823
-3.6785 2.5561 0.5125
-2.0388 5.3852 0.0655
-5.9903 3.9061 -1.4189
-5.3182 -0.2730 0.9595
-2.1452 0.9646 -1.9398


Ba2CaLaSi | Alexandria via LeMat-Bulk | PBE | optimized geometry; formation energy (no corrections) = 0.539 eV per atom; SG = P4/mmm, No. 123; calculated density = 3.23 g cm⁻³; electronic total energy = -2.700 eV per atom
1.0
-2.1295 -6.1390 1.5598
4.9627 -1.1667 2.1835
-2.0889 2.2342 5.9414
Ca Si Ba La
1 1 2 1
Cartesian
0.3722 -2.5358 4.8424
2.4814 -0.5834 1.0918
-1.0444 1.1171 2.9707
-1.0648 -3.0695 0.7799
0.0000 0.0000 0.0000


BaCaLa2Si | Alexandria via LeMat-Bulk | PBE | optimized geometry; formation energy (no corrections) = 1.002 eV per atom; SG = P4/mmm, No. 123; calculated density = 4.05 g cm⁻³; electronic total energy = -2.839 eV per atom
1.0
-2.7502 4.6790 1.9820
-4.4807 -3.4255 1.8695
2.6148 -0.6293 5.1139
Ba Si La Ca
1 1 2 1
Cartesian
-2.2403 -1.7128 0.9348
-2.3080 0.3121 4.4827
-1.3751 2.3395 0.9910
1.3074 -0.3147 2.5569
0.0000 0.0000 0.0000


BaCaLaTb | Alexandria via LeMat-Bulk | PBE | optimized geometry; SG = F-43m, No. 216; calculated density = 4.79 g cm⁻³; electronic total energy = -3.174 eV per atom
1.0
6.1545 0.0000 0.0000
3.0773 5.3300 0.0000
3.0773 1.7767 5.0252
Ba Tb Ca La
1 1 1 1
Cartesian
0.0000 0.0000 0.0000
9.2318 5.3300 3.7689
3.0773 1.7767 1.2563
6.1545 3.5533 2.5126


BaCaLa2Te4 | Alexandria via LeMat-Bulk | PBE | optimized geometry; formation energy (no corrections) = -1.598 eV per atom; SG = P2/m, No. 10; calculated density = 5.57 g cm⁻³; electronic total energy = -4.892 eV per atom
1.0
4.6330 0.0000 0.0000
0.0000 8.1715 -0.2131
0.0000 2.8249 7.5358
La Te Ba Ca
2 4 1 1
Cartesian
2.3165 1.4124 3.7679
0.0000 2.8249 7.5358
2.3165 4.1155 5.5174
2.3166 6.8809 1.8053
4.6330 2.7019 1.9464
0.0001 8.2944 5.3763
2.3165 4.0857 -0.1066
0.0001 5.4981 3.6614


Ba3CaLa2Te6 | Alexandria via LeMat-Bulk | PBE | optimized geometry; formation energy (no corrections) = -1.669 eV per atom; SG = C2/m, No. 12; calculated density = 5.40 g cm⁻³; electronic total energy = -4.709 eV per atom
1.0
8.2052 -0.0004 0.0000
-4.1009 7.1069 0.0000
-1.3692 -2.3707 7.8808
Te Ba Ca La
6 3 1 2
Cartesian
-1.3559 2.3455 1.7732
2.7499 4.7614 1.7836
-0.0148 -0.0255 6.0973
0.0260 4.7381 6.1077
4.0910 2.3904 6.1077
2.7092 -0.0023 1.7732
-2.7211 4.7293 3.9405
5.4562 0.0066 3.9405
1.3676 2.3679 3.9405
0.0000 0.0000 0.0000
4.0944 2.3738 0.0000
0.0099 4.7328 0.0000


Ba2CaLaTe4 | Alexandria via LeMat-Bulk | PBE | optimized geometry; formation energy (no corrections) = -1.675 eV per atom; SG = P2/m, No. 10; calculated density = 5.23 g cm⁻³; electronic total energy = -4.593 eV per atom
1.0
-2.5055 2.8669 2.8227
-6.8882 -2.1725 -3.9075
1.2769 -5.1850 6.3996
Ba La Te Ca
2 1 4 1
Cartesian
-0.6143 -1.1591 4.6111
-2.8057 -3.6788 1.2461
-4.6968 0.3472 -0.5424
-4.8356 -2.7878 -1.4607
-5.5001 -4.2452 3.4090
-2.6167 -0.2454 1.9059
-0.7757 -4.5698 3.9528
0.0000 0.0000 0.0000


BaCa2LaTe4 | Alexandria via LeMat-Bulk | PBE | optimized geometry; formation energy (no corrections) = -1.621 eV per atom; SG = P2/m, No. 10; calculated density = 5.07 g cm⁻³; electronic total energy = -4.548 eV per atom
1.0
4.6304 0.0000 0.0000
0.0000 8.0289 -0.1626
0.0000 2.8248 7.5846
Ca Te Ba La
2 4 1 1
Cartesian
0.0000 2.8248 7.5846
2.3152 1.4124 3.7923
0.0001 8.2458 5.4264
4.6304 2.6078 1.9957
2.3152 4.0094 5.6048
2.3153 6.8443 1.8173
2.3152 4.0145 -0.0813
0.0000 5.4268 3.7111


Ba4CaLa3Te8 | Alexandria via LeMat-Bulk | PBE | optimized geometry; formation energy (no corrections) = -1.677 eV per atom; SG = C2/m, No. 12; calculated density = 5.48 g cm⁻³; electronic total energy = -4.778 eV per atom
1.0
-0.2205 -0.6134 -9.4575
8.9356 -3.5328 0.0208
-6.7158 -4.2339 5.1824
La Ba Te Ca
3 4 8 1
Cartesian
1.1099 -3.8834 2.6016
0.9996 -4.1901 -2.1272
4.3575 -2.0731 -4.7183
-3.4682 -2.4237 -2.1375
-3.3579 -2.1170 2.5912
-0.1103 -0.3067 -4.7287
0.0000 0.0000 0.0000
-1.0819 -3.2954 0.2390
-0.1904 -6.8768 2.8505
2.3010 -1.1935 -2.3274
-0.3018 -7.1867 -1.9269
3.0811 -5.0847 -4.4933
-1.1955 -3.6147 -4.4889
2.1896 -1.5033 -7.1048
3.1947 -4.7655 0.2346
4.4678 -1.7664 0.0104


BaCa2LaTl4 | Alexandria via LeMat-Bulk | PBE | optimized geometry; SG = R-3m, No. 166; calculated density = 7.48 g cm⁻³; electronic total energy = -2.963 eV per atom
1.0
5.6819 0.0000 0.0000
2.8410 4.9207 0.0000
2.8410 1.6402 9.3224
Tl La Ca Ba
4 1 2 1
Cartesian
8.5229 4.9207 3.5720
5.6819 3.2804 1.3009
2.8410 1.6402 5.7504
5.6819 3.2804 8.0215
5.6819 3.2804 4.6612
2.8410 1.6402 2.3425
8.5229 4.9207 6.9799
0.0000 0.0000 0.0000